Material: GaCu2BrF
Method: DFT, PBE
State: optimized geometry

Summary:
- Final energy: -2.629 eV/atom
- V: 21.92 Å³ per atom

Cell: 4.691 4.981 4.691 Å, 90.00 90.00 90.00°
Fractional coordinates of all 5 atoms:
Cu 0.000 0.000 0.500
Br 0.000 0.500 0.000
Ga 0.000 0.000 0.000
Cu 0.500 0.000 0.000
F 0.500 0.500 0.500

---

Material: Tb2YHg
Method: DFT, PBE
State: optimized geometry

Summary:
- Calculated formation energy: -0.21 eV per atom
- Distance to the lowest polymorph of the same formula: 11 meV per atom
- Final energy: -4.220 eV/atom
- V: 29.86 Å³ per atom

Cell: 6.725 6.965 10.201 Å, 90.00 90.00 90.00°
Fractional coordinates of all 16 atoms:
Tb 0.189 0.697 0.458
Tb 0.689 0.803 0.542
Hg 0.947 0.589 0.750
Hg 0.053 0.411 0.250
Tb 0.189 0.697 0.042
Y 0.610 0.494 0.250
Y 0.890 0.994 0.250
Tb 0.811 0.303 0.542
Y 0.390 0.506 0.750
Hg 0.447 0.911 0.250
Hg 0.553 0.089 0.750
Tb 0.689 0.803 0.958
Tb 0.311 0.197 0.042
Y 0.110 0.006 0.750
Tb 0.811 0.303 0.958
Tb 0.311 0.197 0.458

---

Material: Pm12Y5Sc2
Method: DFT, PBE
State: optimized geometry

Summary:
- Calculated formation energy: 0.12 eV per atom
- Distance to the lowest polymorph of the same formula: 0 meV per atom
- Final energy: -5.253 eV/atom
- V: 33.18 Å³ per atom

Cell: 6.763 9.013 12.576 Å, 110.81 110.23 100.50°
Fractional coordinates of all 19 atoms:
Y 0.772 0.563 0.516
Y 0.687 0.124 0.298
Pm 0.141 0.550 0.777
Pm 0.885 0.830 0.385
Pm 0.136 0.993 0.244
Pm 0.323 0.348 0.203
Sc 0.765 0.053 0.012
Pm 0.115 0.170 0.615
Pm 0.422 0.291 0.926
Pm 0.599 0.221 0.588
Pm 0.864 0.007 0.756
Pm 0.677 0.652 0.797
Y 0.228 0.437 0.484
Y 0.313 0.876 0.702
Y 0.000 0.500 0.000
Pm 0.578 0.709 0.074
Pm 0.401 0.779 0.412
Pm 0.859 0.450 0.223
Sc 0.235 0.947 0.988

---

Material: Fe3SnSb
Method: DFT, PBE
State: optimized geometry

Summary:
- Distance to the lowest polymorph of the same formula: 875 meV per atom
- Final energy: -5.666 eV/atom
- V: 21.75 Å³ per atom

Cell: 4.773 4.773 4.773 Å, 90.00 90.00 90.00°
Last column: magnetic moment on the atom in μB.
Fractional coordinates of all 5 atoms:
Fe 0.500 0.000 0.000  2.67
Fe 0.000 0.000 0.500  2.44
Fe 0.000 0.500 0.000  2.50
Sn 0.500 0.500 0.500  -0.12
Sb 0.000 0.000 0.000  -0.07